Run w
4
Lattice="4.7078 0.0000 0.0000 0.0000 4.7078 0.0000 0.0000 0.0000 4.8676" Properties=species:S:1:pos:R:3 comment="CeLu2Hf | the Alexandria database | PBE | optimized geometry" dos_ef_per_ev_atom=0.9884 pbc="T T T"
Ce 0.0000 0.0000 0.0000
Lu 0.0000 2.3539 2.4338
Lu 2.3539 0.0000 2.4338
Hf 2.3539 2.3539 0.0000

Run x
4
Lattice="0.0000 3.7959 3.7959 3.7959 0.0000 3.7959 3.7959 3.7959 0.0000" Properties=species:S:1:pos:R:3 comment="CeLu2Hf | the Alexandria database | PBE | optimized geometry" dos_ef_per_ev_atom=2.0633 pbc="T T T"
Ce 0.0000 0.0000 0.0000
Lu 1.8979 1.8979 1.8979
Lu 5.6938 5.6938 5.6938
Hf 3.7959 3.7959 3.7959

Least stable: run x

Run w
4
Lattice="3.1197 0.0000 0.0000 0.0000 3.1197 0.0000 0.0000 0.0000 9.7140" Properties=species:S:1:pos:R:3 comment="CeHfMg2 | the Alexandria database | PBE | optimized geometry" dos_ef_per_ev_atom=1.8554 pbc="T T T"
Ce 0.0000 0.0000 0.0000
Hf 0.0000 0.0000 4.8570
Mg 1.5599 1.5599 2.6217
Mg 1.5599 1.5599 7.0923

Run x
4
Lattice="1.5215 0.8784 12.0549 -1.5215 0.8784 12.0549 0.0000 -1.7569 12.0549" Properties=species:S:1:pos:R:3 comment="CeHfMg2 | the Alexandria database | PBE | optimized geometry" dos_ef_per_ev_atom=1.0975 pbc="T T T"
Ce 0.0000 0.0000 0.0000
Hf 0.0000 0.0000 18.0824
Mg 0.0000 0.0000 15.0375
Mg 0.0000 0.0000 21.1273

Least stable: run x

Run w
4
Lattice="1.5805 0.9125 8.8255 -1.5805 0.9125 8.8255 0.0000 -1.8250 8.8255" Properties=species:S:1:pos:R:3 comment="CeHf2N | the Alexandria database | PBE | optimized geometry" dos_ef_per_ev_atom=1.3090 pbc="T T T"
Ce 0.0000 0.0000 0.0000
Hf 0.0000 0.0000 3.1403
Hf 0.0000 0.0000 23.3364
N 0.0000 0.0000 13.2383

Run x
4
Lattice="2.9318 0.0000 0.0000 0.0000 2.9318 0.0000 0.0000 0.0000 8.2835" Properties=species:S:1:pos:R:3 comment="CeHf2N | the Alexandria database | PBE | optimized geometry" dos_ef_per_ev_atom=1.6521 pbc="T T T"
Ce 0.0000 0.0000 0.0000
Hf 1.4659 1.4659 2.7511
Hf 1.4659 1.4659 5.5324
N 0.0000 0.0000 4.1417

Least stable: run x

Run w
6
Lattice="4.1022 0.0000 0.0000 0.0000 4.1022 0.0000 0.0000 0.0000 8.5308" Properties=species:S:1:pos:R:3 comment="CeHfNb | the Alexandria database | PBE | optimized geometry" dos_ef_per_ev_atom=1.8105 pbc="T T T"
Ce 1.0255 1.0255 1.0941
Ce 3.0766 3.0766 7.4368
Hf 1.0255 1.0255 6.3277
Hf 3.0766 3.0766 2.2031
Nb 1.0255 3.0766 4.2654
Nb 3.0766 1.0255 4.2654

Run x
3
Lattice="-1.7438 1.7438 5.4444 1.7438 -1.7438 5.4444 1.7438 1.7438 -5.4444" Properties=species:S:1:pos:R:3 comment="CeHfNb | the Alexandria database | PBE | optimized geometry" dos_ef_per_ev_atom=2.0820 pbc="T T T"
Ce 0.0000 0.0000 0.0000
Hf 0.0000 0.0000 3.3759
Nb 0.0000 0.0000 7.1354

Least stable: run w